DFT (PBE) results for an optimized crystal structure of DyZrV4.

```
DyZrV4
1.0
0.000 3.731 3.731
3.731 0.000 3.731
3.731 3.731 0.000
Dy Zr V
1 1 4
direct
0.000 0.000 0.000
0.750 0.750 0.750
0.375 0.375 0.375
0.375 0.375 0.875
0.375 0.875 0.375
0.875 0.375 0.375
```

Computed properties:
energy relative to the elements: 1.36 eV/f.u.
DFT total energy: -8.04 eV/atom
space group: F-43m (216)
volume: 104 Å³/cell
total moment: 0.00 Bohr magnetons per cell
theoretical density: 7.31 g/cm3